[1]
A relaxed structure of Sc2Be2Fe5Co. Source: Alexandria, functional PBE-GGA.

Lattice parameters (Å, degrees): 3.2627 8.7177 8.7177 90.00 90.00 90.00
Last column: magnetic moment on the atom in μB.
Fractional positions:
Sc1 0.0000 0.6748 0.1748  -0.38
Sc2 0.0000 0.3252 0.8252  -0.38
Sc3 0.0000 0.1748 0.3252  -0.38
Sc4 0.0000 0.8252 0.6748  -0.38
Be1 0.0000 0.1205 0.6205  -0.10
Be2 0.0000 0.8795 0.3795  -0.10
Be3 0.0000 0.6205 0.8795  -0.10
Be4 0.0000 0.3795 0.1205  -0.10
Fe1 0.5000 0.2027 0.0634  2.20
Fe2 0.5000 0.7973 0.9366  2.20
Fe3 0.5000 0.0634 0.7973  2.20
Fe4 0.5000 0.7027 0.4366  2.20
Fe5 0.5000 0.9366 0.2027  2.20
Fe6 0.5000 0.2973 0.5634  2.20
Fe7 0.5000 0.5634 0.7027  2.20
Fe8 0.5000 0.4366 0.2973  2.20
Fe9 0.5000 0.5000 0.0000  1.46
Fe10 0.5000 0.0000 0.5000  1.46
Co1 0.0000 0.0000 0.0000  1.68
Co2 0.0000 0.5000 0.5000  1.68

Properties
- calculated total energy (eV/atom) = -7.056
- formation energy from the elements (eV per atom) = -0.10
- size of the total moment (μB/f.u.) = 10.47

[2]
A relaxed structure of Rb2SrPd. Source: Alexandria, functional PBE-GGA.

Lattice parameters (Å, degrees): 12.6372 12.6372 9.4056 47.79 47.79 90.00
Fractional positions:
Sr1 0.5000 0.5000 0.0000
Sr2 0.2500 0.7500 0.5000
Rb1 0.7634 0.1250 0.2500
Rb2 0.9866 0.6250 0.2500
Rb3 0.3750 0.2366 0.7500
Rb4 0.8750 0.0134 0.7500
Pd1 0.0000 0.0000 0.0000
Pd2 0.7500 0.2500 0.5000

Properties
- calculated total energy (eV/atom) = -2.111
- formation energy from the elements (eV per atom) = 0.09
- E above lowest polymorph (eV per atom) = 0.000
- size of the total moment (μB/f.u.) = 0.00

[3]
A relaxed structure of KPm2PtO5. Source: Alexandria, functional PBE-GGA.

Lattice parameters (Å, degrees): 5.8973 6.8053 6.8053 90.00 90.00 90.00
Last column: magnetic moment on the atom in μB.
Fractional positions:
K1 0.0000 0.5000 0.5000  0.00
K2 0.0000 0.0000 0.0000  0.00
Pm1 0.5000 0.6771 0.1771  -0.01
Pm2 0.5000 0.1771 0.3229  -0.01
Pm3 0.5000 0.8229 0.6771  -0.01
Pm4 0.5000 0.3229 0.8229  -0.01
Pt1 0.0000 0.0000 0.5000  0.42
Pt2 0.0000 0.5000 0.0000  0.42
O1 0.5000 0.5000 0.5000  0.13
O2 0.5000 0.0000 0.0000  0.13
O3 0.2570 0.1339 0.6339  0.10
O4 0.2570 0.8661 0.3661  0.10
O5 0.2570 0.3661 0.1339  0.10
O6 0.2570 0.6339 0.8661  0.10
O7 0.7430 0.1339 0.6339  0.10
O8 0.7430 0.6339 0.8661  0.10
O9 0.7430 0.8661 0.3661  0.10
O10 0.7430 0.3661 0.1339  0.10

Properties
- energy relative to the elements, uncorrected (eV/atom) = -2.274
- calculated total energy (eV/atom) = -6.877
- size of the total moment (μB/f.u.) = 1.02

size of the total moment of number 1 (Sc2Be2Fe5Co)? 10.47 μB/f.u.

calculated total energy of number 3 (KPm2PtO5)? -6.877 eV/atom